No. 1
Entry from the Alexandria database: crystalline TiPOs2Pd at its relaxed geometry (GGA-PBE).

Output
Formation energy from the elements, kcal/mol of atoms: 41.25
Calculated total energy, eV/f.u.: -32.0
Space-group type: No. 123
Magnetic moment, μB per cell: 0.0

Geometry as extended XYZ:
```
5
Lattice="-2.2972 -3.3729 -2.5633 2.1636 -3.0012 2.0101 -3.4372 -0.2204 3.3705" Properties=species:S:1:pos:R:3 pbc="T T T"
Os -1.1486 -1.6864 -1.2816
Os -1.7186 -0.1102 1.6852
Ti -1.7854 -3.2972 1.4087
Pd 0.0000 0.0000 0.0000
P 1.0818 -1.5006 1.0051
```

No. 2
Entry from the Alexandria database: crystalline Zn4TcRh5 at its relaxed geometry (GGA-PBE).

Output
Formation energy from the elements, kcal/mol of atoms: -6.99
Calculated total energy, eV/f.u.: -55.2
Space-group type: No. 123
Magnetic moment, μB per cell: 0.0

Geometry as extended XYZ:
```
10
Lattice="2.9067 0.0000 0.0000 0.0000 2.9067 0.0000 0.0000 0.0000 16.4355" Properties=species:S:1:pos:R:3 pbc="T T T"
Rh 1.4534 1.4534 1.7511
Rh 1.4534 1.4534 14.6844
Zn 0.0000 0.0000 9.8123
Zn 0.0000 0.0000 3.4277
Tc 0.0000 0.0000 0.0000
Rh 1.4534 1.4534 8.2177
Rh 1.4534 1.4534 11.4162
Zn 0.0000 0.0000 13.0078
Rh 1.4534 1.4534 5.0192
Zn 0.0000 0.0000 6.6231
```

No. 3
Entry from the Alexandria database: crystalline Er2PuPb at its relaxed geometry (GGA-PBE).

Output
Formation energy from the elements, kcal/mol of atoms: -1.80
Calculated total energy, eV/f.u.: -27.5
Space-group type: No. 166
Excess energy over the best structure of this formula in the dataset, meV per atom: 92
Magnetic moment, μB per cell: 6.0

Geometry as extended XYZ:
```
4
Lattice="-1.4904 -2.2413 2.2248 1.9675 -1.7580 2.2875 -1.0959 6.7046 8.7608" Properties=species:S:1:pos:R:3 pbc="T T T"
Pb 0.0000 0.0000 0.0000
Pu -0.3094 1.3526 6.6365
Er -0.4687 2.0585 9.9814
Er -0.1501 0.6468 3.2916
```